[1]
A plane-wave DFT calculation with PBE-GGA was carried out for crystalline Ac2SnHg at its relaxed geometry.

DFT formation energy: -54.99 kJ/mol of atoms
E: -0.2720 Ry/atom
space group: No. 123
crystal system: tetragonal

Unit cell a=4.2875 b=5.6229 c=5.6229 alpha=90.00 beta=90.00 gamma=90.00
Last column: nearest neighbours and their distance in Å.
Fractional positions:
Ac 0.0000 0.5000 0.0000  4 Hg 3.54, 4 Sn 3.54
Ac 0.0000 0.0000 0.5000  4 Sn 3.54, 4 Hg 3.54
Hg 0.5000 0.5000 0.5000  8 Ac 3.54
Sn 0.5000 0.0000 0.0000  8 Ac 3.54

---

[2]
A plane-wave DFT calculation with PBE-GGA was carried out for crystalline Ac12Sn5Hg2 at its relaxed geometry.

DFT formation energy: -32.98 kJ/mol of atoms
E: -0.2956 Ry/atom
space group: No. 12
crystal system: monoclinic

Unit cell a=8.2411 b=10.2964 c=10.4929 alpha=100.06 beta=90.00 gamma=113.59
Last column: nearest neighbours and their distance in Å.
Fractional positions:
Sn 0.6728 0.3456 0.8365  7 Ac 3.43-3.54
Sn 0.2969 0.5937 0.6372  7 Ac 3.36-3.53
Sn 0.0000 0.0000 0.5000  6 Ac 3.32-3.41
Sn 0.3272 0.6544 0.1635  7 Ac 3.43-3.54
Sn 0.7031 0.4063 0.3628  7 Ac 3.36-3.53
Ac 0.9850 0.9700 0.1796  2 Hg 3.31, 1 Sn 3.32
Ac 0.9222 0.3433 0.1040  1 Hg 3.27, 3 Sn 3.37-3.54
Ac 0.5789 0.6567 0.8960  1 Hg 3.27, 3 Sn 3.37-3.54
Ac 0.4875 0.9750 0.7048  2 Hg 3.39, 2 Sn 3.51-3.53
Ac 0.9041 0.2960 0.5735  4 Sn 3.36-3.43
Ac 0.0778 0.6567 0.8960  1 Hg 3.27, 3 Sn 3.37-3.54
Ac 0.6081 0.7040 0.4265  4 Sn 3.36-3.43
Ac 0.5125 0.0250 0.2952  2 Hg 3.39, 2 Sn 3.51-3.53
Ac 0.4211 0.3433 0.1040  1 Hg 3.27, 3 Sn 3.37-3.54
Ac 0.0150 0.0300 0.8204  2 Hg 3.31, 1 Sn 3.32
Ac 0.3919 0.2960 0.5735  4 Sn 3.36-3.43
Ac 0.0959 0.7040 0.4265  4 Sn 3.36-3.43
Hg 0.6762 0.0000 0.0000  1 Hg 2.90
Hg 0.3238 0.0000 0.0000  1 Hg 2.90

---

[3]
A plane-wave DFT calculation with PBE-GGA was carried out for crystalline Ac2Sn3Hg2 at its relaxed geometry.

DFT formation energy: -46.10 kJ/mol of atoms
E: -0.2538 Ry/atom
space group: No. 12
crystal system: monoclinic

Unit cell a=5.0384 b=6.6568 c=7.0013 alpha=102.43 beta=90.00 gamma=112.24
Last column: nearest neighbours and their distance in Å.
Fractional positions:
Hg 0.8913 0.7826 0.3581  1 Hg 2.94, 3 Sn 3.07-3.10
Hg 0.1087 0.2174 0.6419  1 Hg 2.94, 3 Sn 3.07-3.10
Sn 0.7166 0.4333 0.8562  2 Hg 3.07, 3 Sn 3.21-3.40
Sn 0.0000 0.0000 0.0000  2 Hg 3.10, 4 Ac 3.37, 2 Sn 3.40
Sn 0.2834 0.5667 0.1438  2 Hg 3.07, 3 Sn 3.21-3.40
Ac 0.6104 0.2207 0.3020  5 Sn 3.37-3.65, 3 Hg 3.39-3.47
Ac 0.3896 0.7793 0.6980  5 Sn 3.37-3.65, 3 Hg 3.39-3.47

---

[4]
A plane-wave DFT calculation with PBE-GGA was carried out for crystalline Ac2SnHg at its relaxed geometry.

DFT formation energy: -54.12 kJ/mol of atoms
E: -0.2713 Ry/atom
space group: No. 225
crystal system: cubic

Unit cell a=5.7634 b=5.7634 c=5.7634 alpha=60.00 beta=60.00 gamma=60.00
Last column: nearest neighbours and their distance in Å.
Fractional positions:
Ac 0.7500 0.7500 0.7500  4 Hg 3.53, 4 Sn 3.53
Ac 0.2500 0.2500 0.2500  4 Sn 3.53, 4 Hg 3.53
Sn 0.0000 0.0000 0.0000  8 Ac 3.53
Hg 0.5000 0.5000 0.5000  8 Ac 3.53

---

[5]
A plane-wave DFT calculation with PBE-GGA was carried out for crystalline Ac12Sn3Hg5 at its relaxed geometry.

DFT formation energy: -11.81 kJ/mol of atoms
E: -0.2398 Ry/atom
space group: No. 230
crystal system: cubic

Unit cell a=16.6604 b=16.6604 c=16.6604 alpha=109.47 beta=109.47 gamma=109.47
Last column: nearest neighbours and their distance in Å.
Fractional positions:
Ac 0.2213 0.6660 0.0874  2 Hg 3.16-3.21, 1 Sn 3.48
Ac 0.8340 0.9126 0.2787  2 Hg 3.16-3.21, 1 Sn 3.48
Ac 0.5553 0.2213 0.1339  2 Hg 3.16-3.21, 1 Sn 3.48
Ac 0.5874 0.8661 0.4214  2 Hg 3.16-3.21, 1 Sn 3.48
Ac 0.2787 0.8661 0.9447  2 Hg 3.16-3.21, 1 Sn 3.48
Ac 0.9126 0.0786 0.6339  2 Hg 3.16-3.21, 1 Sn 3.48
Ac 0.0786 0.1660 0.4447  2 Hg 3.16-3.21, 1 Sn 3.48
Ac 0.6339 0.5786 0.9126  2 Hg 3.16-3.21, 1 Sn 3.48
Ac 0.4214 0.3661 0.5874  2 Hg 3.16-3.21, 1 Sn 3.48
Ac 0.6660 0.2213 0.5874  2 Hg 3.16-3.21, 1 Sn 3.48
Ac 0.5874 0.7213 0.6660  2 Hg 3.16-3.21, 1 Sn 3.48
Ac 0.6660 0.4447 0.5786  2 Hg 3.16-3.21, 1 Sn 3.48
Ac 0.0874 0.9214 0.3661  2 Hg 3.16-3.21, 1 Sn 3.48
Ac 0.0874 0.1660 0.2213  2 Hg 3.16-3.21, 1 Sn 3.48
Ac 0.2787 0.4126 0.8340  2 Hg 3.16-3.21, 1 Sn 3.48
Ac 0.0786 0.9126 0.1339  2 Hg 3.16-3.21, 1 Sn 3.48
Ac 0.4126 0.1339 0.5786  2 Hg 3.16-3.21, 1 Sn 3.48
Ac 0.7213 0.1339 0.0553  2 Hg 3.16-3.21, 1 Sn 3.48
Ac 0.1660 0.0786 0.9447  2 Hg 3.16-3.21, 1 Sn 3.48
Ac 0.1660 0.0874 0.7213  2 Hg 3.16-3.21, 1 Sn 3.48
Ac 0.8661 0.2787 0.4447  2 Hg 3.16-3.21, 1 Sn 3.48
Ac 0.3340 0.7787 0.4126  2 Hg 3.16-3.21, 1 Sn 3.48
Ac 0.1339 0.4126 0.0786  2 Hg 3.16-3.21, 1 Sn 3.48
Ac 0.6339 0.0553 0.2213  2 Hg 3.16-3.21, 1 Sn 3.48
Ac 0.9447 0.5786 0.1660  2 Hg 3.16-3.21, 1 Sn 3.48
Ac 0.3661 0.4214 0.0874  2 Hg 3.16-3.21, 1 Sn 3.48
Ac 0.5786 0.6339 0.4126  2 Hg 3.16-3.21, 1 Sn 3.48
Ac 0.4447 0.6660 0.0786  2 Hg 3.16-3.21, 1 Sn 3.48
Ac 0.2213 0.5553 0.6339  2 Hg 3.16-3.21, 1 Sn 3.48
Ac 0.4447 0.7787 0.8661  2 Hg 3.16-3.21, 1 Sn 3.48
Ac 0.3661 0.9447 0.7787  2 Hg 3.16-3.21, 1 Sn 3.48
Ac 0.1339 0.7213 0.5553  2 Hg 3.16-3.21, 1 Sn 3.48
Ac 0.8661 0.5874 0.9214  2 Hg 3.16-3.21, 1 Sn 3.48
Ac 0.9447 0.3661 0.2787  2 Hg 3.16-3.21, 1 Sn 3.48
Ac 0.4214 0.0553 0.3340  2 Hg 3.16-3.21, 1 Sn 3.48
Ac 0.0553 0.4214 0.8340  2 Hg 3.16-3.21, 1 Sn 3.48
Ac 0.5786 0.9447 0.6660  2 Hg 3.16-3.21, 1 Sn 3.48
Ac 0.7787 0.3340 0.9126  2 Hg 3.16-3.21, 1 Sn 3.48
Ac 0.9214 0.8340 0.5553  2 Hg 3.16-3.21, 1 Sn 3.48
Ac 0.7213 0.5874 0.1660  2 Hg 3.16-3.21, 1 Sn 3.48
Ac 0.5553 0.3340 0.9214  2 Hg 3.16-3.21, 1 Sn 3.48
Ac 0.0553 0.6339 0.7213  2 Hg 3.16-3.21, 1 Sn 3.48
Ac 0.9126 0.8340 0.7787  2 Hg 3.16-3.21, 1 Sn 3.48
Ac 0.7787 0.4447 0.3661  2 Hg 3.16-3.21, 1 Sn 3.48
Ac 0.4126 0.2787 0.3340  2 Hg 3.16-3.21, 1 Sn 3.48
Ac 0.3340 0.5553 0.4214  2 Hg 3.16-3.21, 1 Sn 3.48
Ac 0.9214 0.0874 0.8661  2 Hg 3.16-3.21, 1 Sn 3.48
Ac 0.8340 0.9214 0.0553  2 Hg 3.16-3.21, 1 Sn 3.48
Sn 0.2500 0.6250 0.8750  8 Ac 3.48-3.60
Sn 0.7500 0.3750 0.1250  8 Ac 3.48-3.60
Sn 0.3750 0.7500 0.6250  8 Ac 3.48-3.60
Sn 0.1250 0.2500 0.8750  8 Ac 3.48-3.60
Sn 0.6250 0.2500 0.3750  8 Ac 3.48-3.60
Sn 0.1250 0.8750 0.7500  8 Ac 3.48-3.60
Sn 0.8750 0.7500 0.1250  8 Ac 3.48-3.60
Sn 0.3750 0.6250 0.2500  8 Ac 3.48-3.60
Sn 0.8750 0.1250 0.2500  8 Ac 3.48-3.60
Sn 0.6250 0.3750 0.7500  8 Ac 3.48-3.60
Sn 0.7500 0.8750 0.6250  8 Ac 3.48-3.60
Sn 0.2500 0.1250 0.3750  8 Ac 3.48-3.60
Hg 0.2500 0.3750 0.6250  4 Ac 3.16
Hg 0.7500 0.1250 0.8750  4 Ac 3.16
Hg 0.3750 0.2500 0.1250  4 Ac 3.16
Hg 0.6250 0.7500 0.8750  4 Ac 3.16
Hg 0.5000 0.5000 0.5000  6 Ac 3.21
Hg 0.0000 0.0000 0.5000  6 Ac 3.21
Hg 0.1250 0.7500 0.3750  4 Ac 3.16
Hg 0.3750 0.1250 0.7500  4 Ac 3.16
Hg 0.8750 0.2500 0.6250  4 Ac 3.16
Hg 0.2500 0.8750 0.1250  4 Ac 3.16
Hg 0.8750 0.6250 0.7500  4 Ac 3.16
Hg 0.5000 0.0000 0.0000  6 Ac 3.21
Hg 0.0000 0.5000 0.5000  6 Ac 3.21
Hg 0.6250 0.8750 0.2500  4 Ac 3.16
Hg 0.5000 0.0000 0.5000  6 Ac 3.21
Hg 0.5000 0.5000 0.0000  6 Ac 3.21
Hg 0.0000 0.5000 0.0000  6 Ac 3.21
Hg 0.1250 0.3750 0.2500  4 Ac 3.16
Hg 0.7500 0.6250 0.3750  4 Ac 3.16
Hg 0.0000 0.0000 0.0000  6 Ac 3.21

---

[6]
A plane-wave DFT calculation with PBE-GGA was carried out for crystalline AcSn6Hg2 at its relaxed geometry.

DFT formation energy: -7.73 kJ/mol of atoms
E: -0.2405 Ry/atom
space group: No. 12
crystal system: monoclinic

Unit cell a=3.4293 b=9.0407 c=9.0407 alpha=103.66 beta=78.89 gamma=78.89
Last column: nearest neighbours and their distance in Å.
Fractional positions:
Hg 0.2060 0.2931 0.2931  6 Sn 3.15-3.24, 2 Hg 3.43
Hg 0.7940 0.7069 0.7069  6 Sn 3.15-3.24, 2 Hg 3.43
Sn 0.3493 0.3466 0.9564  6 Sn 3.12-3.43, 1 Hg 3.15
Sn 0.5000 0.3843 0.6157  5 Sn 3.13-3.43, 4 Hg 3.23-3.24
Sn 0.6507 0.0436 0.6534  6 Sn 3.12-3.43, 1 Hg 3.15
Sn 0.6507 0.6534 0.0436  6 Sn 3.12-3.43, 1 Hg 3.15
Sn 0.3493 0.9564 0.3466  6 Sn 3.12-3.43, 1 Hg 3.15
Sn 0.5000 0.6157 0.3843  5 Sn 3.13-3.43, 4 Hg 3.23-3.24
Ac 0.0000 0.0000 0.0000  2 Ac 3.43, 4 Hg 3.55-3.56, 8 Sn 3.63-3.64

---

[7]
A plane-wave DFT calculation with PBE-GGA was carried out for crystalline Ac3Sn4Hg2 at its relaxed geometry.

DFT formation energy: -56.36 kJ/mol of atoms
E: -0.2793 Ry/atom
space group: No. 12
crystal system: monoclinic

Unit cell a=4.8364 b=6.7691 c=9.5983 alpha=99.92 beta=90.00 gamma=110.93
Last column: nearest neighbours and their distance in Å.
Fractional positions:
Sn 0.0336 0.0673 0.3621  2 Hg 2.92, 1 Sn 2.93
Sn 0.9664 0.9327 0.6379  2 Hg 2.92, 1 Sn 2.93
Sn 0.3062 0.6124 0.9646  1 Hg 2.91, 2 Sn 2.95
Sn 0.6938 0.3876 0.0354  1 Hg 2.91, 2 Sn 2.95
Hg 0.6549 0.3099 0.3250  3 Sn 2.91-2.92
Hg 0.3451 0.6901 0.6750  3 Sn 2.91-2.92
Ac 0.0000 0.0000 0.0000  6 Sn 3.41-3.42
Ac 0.3345 0.6690 0.3327  3 Hg 3.26-3.31, 3 Sn 3.46-3.48
Ac 0.6655 0.3310 0.6673  3 Hg 3.26-3.31, 3 Sn 3.46-3.48

---

[8]
A plane-wave DFT calculation with PBE-GGA was carried out for crystalline Ac4SnHg5 at its relaxed geometry.

DFT formation energy: -41.00 kJ/mol of atoms
E: -0.1925 Ry/atom
space group: No. 123
crystal system: tetragonal

Unit cell a=4.0530 b=4.0530 c=19.2190 alpha=90.00 beta=90.00 gamma=90.00
Last column: nearest neighbours and their distance in Å.
Fractional positions:
Hg 0.5000 0.5000 0.9156  1 Hg 3.24, 4 Sn 3.29, 4 Ac 3.44
Hg 0.5000 0.5000 0.7075  8 Ac 3.47-3.55
Hg 0.5000 0.5000 0.2925  8 Ac 3.47-3.55
Hg 0.5000 0.5000 0.0844  1 Hg 3.24, 4 Sn 3.29, 4 Ac 3.44
Hg 0.5000 0.5000 0.5000  8 Ac 3.51
Ac 0.0000 0.0000 0.3944  8 Hg 3.47-3.51
Ac 0.0000 0.0000 0.1836  8 Hg 3.44-3.55, 1 Sn 3.53
Ac 0.0000 0.0000 0.6056  8 Hg 3.47-3.51
Ac 0.0000 0.0000 0.8164  8 Hg 3.44-3.55, 1 Sn 3.53
Sn 0.0000 0.0000 0.0000  8 Hg 3.29, 2 Ac 3.53

---

[9]
A plane-wave DFT calculation with PBE-GGA was carried out for crystalline Ac5SnHg4 at its relaxed geometry.

DFT formation energy: -48.33 kJ/mol of atoms
E: -0.2261 Ry/atom
space group: No. 123
crystal system: tetragonal

Unit cell a=4.0258 b=4.0258 c=20.6044 alpha=90.00 beta=90.00 gamma=90.00
Last column: nearest neighbours and their distance in Å.
Fractional positions:
Ac 0.5000 0.5000 0.6975  8 Hg 3.48-3.49
Ac 0.5000 0.5000 0.3025  8 Hg 3.48-3.49
Ac 0.5000 0.5000 0.8977  4 Sn 3.54, 4 Hg 3.55
Ac 0.5000 0.5000 0.5000  8 Hg 3.51
Ac 0.5000 0.5000 0.1023  4 Sn 3.54, 4 Hg 3.55
Hg 0.0000 0.0000 0.5998  8 Ac 3.49-3.51
Hg 0.0000 0.0000 0.4002  8 Ac 3.49-3.51
Hg 0.0000 0.0000 0.7945  8 Ac 3.48-3.55
Hg 0.0000 0.0000 0.2055  8 Ac 3.48-3.55
Sn 0.0000 0.0000 0.0000  8 Ac 3.54

---

[10]
A plane-wave DFT calculation with PBE-GGA was carried out for crystalline Ac2SnHg8 at its relaxed geometry.

DFT formation energy: -28.44 kJ/mol of atoms
E: -0.1194 Ry/atom
space group: No. 2
crystal system: triclinic

Unit cell a=5.3740 b=7.3510 c=10.7064 alpha=125.83 beta=112.92 gamma=85.87
Last column: nearest neighbours and their distance in Å.
Fractional positions:
Hg 0.3343 0.8644 0.6238  4 Hg 3.01-3.32, 1 Sn 3.26
Hg 0.2699 0.6377 0.0153  4 Hg 2.94-3.19, 1 Sn 3.13
Hg 0.7301 0.3623 0.9847  4 Hg 2.94-3.19, 1 Sn 3.13
Hg 0.1070 0.2467 0.2342  1 Sn 3.06, 3 Hg 3.09-3.34, 1 Ac 3.34
Hg 0.6657 0.1356 0.3762  4 Hg 3.01-3.32, 1 Sn 3.26
Hg 0.0790 0.8431 0.2849  4 Hg 2.94-3.25
Hg 0.9210 0.1569 0.7151  4 Hg 2.94-3.25
Hg 0.8930 0.7533 0.7658  1 Sn 3.06, 3 Hg 3.09-3.34, 1 Ac 3.34
Sn 0.5000 0.0000 0.0000  6 Hg 3.06-3.26
Ac 0.6481 0.5979 0.3509  11 Hg 3.34-3.56, 1 Sn 3.59
Ac 0.3519 0.4021 0.6491  11 Hg 3.34-3.56, 1 Sn 3.59

---

[11]
A plane-wave DFT calculation with PBE-GGA was carried out for crystalline Ac2Sn3Hg2 at its relaxed geometry.

DFT formation energy: -51.45 kJ/mol of atoms
E: -0.2579 Ry/atom
space group: No. 12
crystal system: monoclinic

Unit cell a=4.7915 b=6.4285 c=7.5834 alpha=103.23 beta=90.00 gamma=111.88
Last column: nearest neighbours and their distance in Å.
Fractional positions:
Hg 0.8940 0.7881 0.5632  1 Hg 2.92, 4 Sn 2.96-3.24
Hg 0.1060 0.2119 0.4368  1 Hg 2.92, 4 Sn 2.96-3.24
Sn 0.3382 0.6764 0.7536  3 Hg 2.96-3.19
Sn 0.6618 0.3236 0.2464  3 Hg 2.96-3.19
Sn 0.0000 0.0000 0.0000  2 Hg 3.24, 4 Sn 3.34, 4 Ac 3.57
Ac 0.6341 0.2681 0.7698  5 Hg 3.44-3.80, 6 Sn 3.44-3.57
Ac 0.3659 0.7319 0.2302  5 Hg 3.44-3.80, 6 Sn 3.44-3.57

---

[12]
A plane-wave DFT calculation with PBE-GGA was carried out for crystalline AcSnHg3 at its relaxed geometry.

DFT formation energy: -31.44 kJ/mol of atoms
E: -0.1565 Ry/atom
space group: No. 11
crystal system: monoclinic

Unit cell a=6.3762 b=6.7707 c=6.4756 alpha=90.00 beta=86.28 gamma=90.00
Last column: nearest neighbours and their distance in Å.
Fractional positions:
Ac 0.3301 0.2500 0.1772  8 Hg 3.39-3.72, 4 Sn 3.49-3.65
Ac 0.6699 0.7500 0.8228  8 Hg 3.39-3.72, 4 Sn 3.49-3.65
Sn 0.5416 0.2500 0.6611  5 Hg 2.89-3.18
Sn 0.4584 0.7500 0.3389  5 Hg 2.89-3.18
Hg 0.8619 0.2500 0.9567  1 Sn 2.89, 4 Hg 3.01-3.14
Hg 0.1584 0.9962 0.6553  3 Hg 2.94-3.14, 2 Sn 2.99-3.18
Hg 0.8416 0.4962 0.3447  3 Hg 2.94-3.14, 2 Sn 2.99-3.18
Hg 0.1381 0.7500 0.0433  1 Sn 2.89, 4 Hg 3.01-3.14
Hg 0.8416 0.0038 0.3447  3 Hg 2.94-3.14, 2 Sn 2.99-3.18
Hg 0.1584 0.5038 0.6553  3 Hg 2.94-3.14, 2 Sn 2.99-3.18